Entry 1:
The following is a PBE-GGA calculation of crystalline SrY2P2 at its relaxed geometry, from Alexandria.

```
SrY2P2
1.0
-0.495 -4.047 6.753
6.164 -4.409 -2.190
2.407 2.526 1.690
Y Sr P
4 2 4
direct
0.347 0.153 0.500
0.653 0.847 0.500
0.847 0.347 0.500
0.153 0.653 0.500
0.500 0.500 0.000
0.000 0.000 0.000
0.647 0.147 0.000
0.853 0.647 0.000
0.147 0.353 0.000
0.353 0.853 0.000
```

Values from the calculation:
* Fermi-level density of states: 0.248 states/eV/atom
* VASP energy: -6.13 eV per atom
* ΔE to the lowest computed polymorph: 0.0 kJ per mole of atoms
* space-group type: No. 127
* magnetization: 0.0000 μB/atom
* energy of formation from the pure elements: -1.043 eV per atom

=====

Entry 2:
The following is a PBE-GGA calculation of crystalline SrY2P2 at its relaxed geometry, from Alexandria.

```
SrY2P2
1.0
4.606 0.000 0.000
0.000 4.606 0.000
2.303 2.303 6.622
P Sr Y
2 1 2
direct
0.630 0.630 0.741
0.370 0.370 0.259
0.000 0.000 0.000
0.250 0.750 0.500
0.750 0.250 0.500
```

Values from the calculation:
* Fermi-level density of states: 0.805 states/eV/atom
* VASP energy: -5.99 eV per atom
* ΔE to the lowest computed polymorph: 13.6 kJ per mole of atoms
* space-group type: No. 139
* magnetization: 0.1022 μB/atom
* energy of formation from the pure elements: -0.903 eV per atom

=====

Entry 3:
The following is a PBE-GGA calculation of crystalline SrYP at its relaxed geometry, from Alexandria.

```
SrYP
1.0
-0.886 3.734 -1.500
-2.520 -1.772 2.736
3.533 2.900 5.134
Sr Y P
1 1 1
direct
0.667 0.333 0.255
0.333 0.667 0.773
0.000 0.000 0.972
```

Values from the calculation:
* Fermi-level density of states: 0.551 states/eV/atom
* VASP energy: -5.39 eV per atom
* ΔE to the lowest computed polymorph: 3.4 kJ per mole of atoms
* space-group type: No. 156
* magnetization: 0.0743 μB/atom
* energy of formation from the pure elements: -0.871 eV per atom

=====

Entry 4:
The following is a PBE-GGA calculation of crystalline Sr3YP at its relaxed geometry, from Alexandria.

```
Sr3YP
1.0
-3.919 1.816 4.096
-4.481 -1.631 -3.564
0.035 -5.429 2.441
Sr Y P
3 1 1
direct
0.500 0.000 0.000
0.000 0.500 0.000
0.000 0.000 0.500
0.500 0.500 0.500
0.000 0.000 0.000
```

Values from the calculation:
* Fermi-level density of states: 0.625 states/eV/atom
* VASP energy: -3.60 eV per atom
* ΔE to the lowest computed polymorph: 0.0 kJ per mole of atoms
* space-group type: No. 221
* magnetization: 0.0000 μB/atom
* energy of formation from the pure elements: -0.217 eV per atom

=====

Entry 5:
The following is a PBE-GGA calculation of crystalline SrYZn2P at its relaxed geometry, from Alexandria.

```
SrYZn2P
1.0
5.282 0.000 0.000
0.000 5.396 0.000
0.000 0.000 5.282
P Y Zn Sr
1 1 2 1
direct
0.000 0.500 0.000
0.500 0.500 0.500
0.000 0.000 0.500
0.500 0.000 0.000
0.000 0.000 0.000
```

Values from the calculation:
* Fermi-level density of states: 0.522 states/eV/atom
* VASP energy: -2.67 eV per atom
* space-group type: No. 123
* magnetization: 0.0000 μB/atom
* energy of formation from the pure elements: 0.552 eV per atom

=====

Entry 6:
The following is a PBE-GGA calculation of crystalline SrZn2P at its relaxed geometry, from Alexandria.

```
SrZn2P
1.0
-5.295 1.371 -3.543
-3.869 -2.307 -4.710
-6.086 -1.960 -1.262
Zn Sr P
2 1 1
direct
0.243 0.243 0.243
0.974 0.974 0.974
0.756 0.756 0.756
0.531 0.531 0.531
```

Values from the calculation:
* Fermi-level density of states: 0.368 states/eV/atom
* VASP energy: -2.78 eV per atom
* space-group type: No. 160
* magnetization: 0.0000 μB/atom
* energy of formation from the pure elements: -0.366 eV per atom

=====

Entry 7:
The following is a PBE-GGA calculation of crystalline SrZn2P at its relaxed geometry, from Alexandria.

```
SrZn2P
1.0
7.910 0.000 0.000
0.000 7.910 0.000
3.955 3.955 2.974
Zn Sr P
4 2 2
direct
0.875 0.795 0.750
0.545 0.125 0.250
0.205 0.625 0.250
0.375 0.455 0.750
0.750 0.250 0.500
0.000 0.000 0.000
0.250 0.750 0.500
0.500 0.500 0.000
```

Values from the calculation:
* Fermi-level density of states: 0.903 states/eV/atom
* VASP energy: -2.62 eV per atom
* space-group type: No. 122
* magnetization: 0.0000 μB/atom
* energy of formation from the pure elements: -0.215 eV per atom

=====

Entry 8:
The following is a PBE-GGA calculation of crystalline SrZn2P at its relaxed geometry, from Alexandria.

```
SrZn2P
1.0
-1.928 3.393 -1.570
0.109 -1.715 -3.840
-4.358 -2.100 0.814
Zn P Sr
2 1 1
direct
0.500 0.000 0.000
0.000 0.500 0.000
0.500 0.500 0.500
0.000 0.000 0.500
```

Values from the calculation:
* Fermi-level density of states: 0.450 states/eV/atom
* VASP energy: -2.59 eV per atom
* space-group type: No. 123
* magnetization: 0.0000 μB/atom
* energy of formation from the pure elements: -0.183 eV per atom

=====

Entry 9:
The following is a PBE-GGA calculation of crystalline SrZnP2 at its relaxed geometry, from Alexandria.

```
SrZnP2
1.0
3.023 0.000 0.000
0.000 4.046 0.000
0.000 0.000 7.821
Zn P Sr
1 2 1
direct
0.500 0.500 0.954
0.000 0.000 0.837
0.500 0.500 0.257
0.000 0.000 0.451
```

Values from the calculation:
* Fermi-level density of states: 0.471 states/eV/atom
* VASP energy: -3.49 eV per atom
* space-group type: No. 25
* magnetization: 0.0000 μB/atom
* energy of formation from the pure elements: -0.051 eV per atom

=====

Entry 10:
The following is a PBE-GGA calculation of crystalline SrZn2P at its relaxed geometry, from Alexandria.

```
SrZn2P
1.0
3.904 0.000 0.000
0.000 3.904 0.000
0.000 0.000 5.880
P Zn Sr
1 2 1
direct
0.000 0.000 0.456
0.000 0.500 0.176
0.500 0.000 0.176
0.500 0.500 0.686
```

Values from the calculation:
* Fermi-level density of states: 0.384 states/eV/atom
* VASP energy: -2.79 eV per atom
* space-group type: No. 99
* magnetization: 0.0000 μB/atom
* energy of formation from the pure elements: -0.381 eV per atom

=====

Entry 11:
The following is a PBE-GGA calculation of crystalline SrZnP2 at its relaxed geometry, from Alexandria.

```
SrZnP2
1.0
5.312 -0.014 0.000
1.702 5.032 0.000
-3.507 -2.509 3.102
P Sr Zn
2 1 1
direct
0.500 0.500 0.000
0.000 0.000 0.000
0.250 0.750 0.500
0.750 0.250 0.500
```

Values from the calculation:
* Fermi-level density of states: 0.393 states/eV/atom
* VASP energy: -3.49 eV per atom
* space-group type: No. 139
* magnetization: 0.0000 μB/atom
* energy of formation from the pure elements: -0.051 eV per atom

=====

Entry 12:
The following is a PBE-GGA calculation of crystalline SrZn2P2 at its relaxed geometry, from Alexandria.

```
SrZn2P2
1.0
3.955 0.000 0.922
1.870 3.485 0.922
-0.031 -0.018 9.077
Zn P Sr
2 2 1
direct
0.761 0.761 0.718
0.239 0.239 0.282
0.587 0.587 0.238
0.413 0.413 0.762
0.000 0.000 0.000
```

Values from the calculation:
* VASP energy: -3.53 eV per atom
* space-group type: No. 166
* magnetization: 0.0000 μB/atom
* energy of formation from the pure elements: -0.519 eV per atom

=====

Entry 13:
The following is a PBE-GGA calculation of crystalline SrZnP2 at its relaxed geometry, from Alexandria.

```
SrZnP2
1.0
-0.729 3.176 -1.661
-3.456 -0.169 1.185
1.588 3.012 5.061
Zn P Sr
1 2 1
direct
0.500 0.500 0.750
0.000 0.000 0.931
0.000 0.000 0.569
0.500 0.500 0.250
```

Values from the calculation:
* Fermi-level density of states: 0.345 states/eV/atom
* VASP energy: -3.69 eV per atom
* space-group type: No. 123
* magnetization: 0.0000 μB/atom
* energy of formation from the pure elements: -0.248 eV per atom

=====

Entry 14:
The following is a PBE-GGA calculation of crystalline Sr4ZnP4 at its relaxed geometry, from Alexandria.

```
Sr4ZnP4
1.0
6.367 0.000 0.000
0.000 8.810 0.000
0.000 0.000 8.810
Sr P Zn
8 8 2
direct
0.805 0.500 0.767
0.695 0.000 0.267
0.805 0.500 0.233
0.305 0.267 0.000
0.195 0.233 0.500
0.195 0.767 0.500
0.695 0.000 0.733
0.305 0.733 0.000
0.295 0.500 0.268
0.705 0.268 0.500
0.205 0.000 0.232
0.295 0.500 0.732
0.795 0.232 0.000
0.705 0.732 0.500
0.205 0.000 0.768
0.795 0.768 0.000
0.500 0.500 0.500
0.000 0.000 0.000
```

Values from the calculation:
* Fermi-level density of states: 0.973 states/eV/atom
* VASP energy: -4.14 eV per atom
* space-group type: No. 137
* magnetization: 0.0000 μB/atom
* energy of formation from the pure elements: -0.847 eV per atom